! La3Nd3Tl2 | Alexandria | GGA-PBE | optimized geometry; values from VASP
! Excess energy over the best structure of this formula in the dataset, meV per atom: 0
! E_form, eV per atom: -0.22
! Magnetic moment, μB per formula unit: 0.00
&SYSTEM
  ibrav = 0, nat = 8, ntyp = 3
/
ATOMIC_SPECIES
La 138.91 La.upf
Nd 144.24 Nd.upf
Tl 204.38 Tl.upf
ATOMIC_POSITIONS crystal
La 0.000 0.000 0.000
La 0.500 0.000 0.250
La 0.500 0.000 0.750
Nd 0.000 0.000 0.500
Nd 0.500 0.500 0.000
Nd 0.500 0.500 0.500
Tl 0.000 0.500 0.252
Tl 0.000 0.500 0.748
CELL_PARAMETERS angstrom
5.023 0.000 0.000
0.000 5.091 0.000
0.000 0.000 9.958